Record 1
A plane-wave DFT calculation with PBE-GGA was carried out for a relaxed structure of SrY2Sc.

Values from the calculation:
Calculated formation energy   108.9 meV/atom
Distance to the lowest polymorph of the same formula   0.000 eV per atom

a = 3.8947 Å, b = 3.8947 Å, c = 9.2494 Å
α = 90.00°, β = 90.00°, γ = 90.00°
With the nearest neighbours (Å) after each atom.
Space group P4/mmm (No. 123)
Symmetry-distinct sites (fractional):
Sr 0.0000 0.0000 0.0000  4 Sr 3.89, 8 Y 3.95
Y 0.5000 0.5000 0.3068  4 Sc 3.28, 1 Y 3.57
Sc 0.0000 0.0000 0.5000  8 Y 3.28

---

Record 2
A plane-wave DFT calculation with PBE-GGA was carried out for a relaxed structure of YErTm2N4.

Values from the calculation:
E_form (uncorrected)   -1.781 eV/atom

a = 5.9369 Å, b = 3.4285 Å, c = 5.9372 Å
α = 90.00°, β = 109.45°, γ = 90.00°
With the nearest neighbours (Å) after each atom.
Space group P2/m (No. 10)
Symmetry-distinct sites (fractional):
Y 0.0000 0.0000 0.0000  6 N 2.44
Er 0.5000 0.5000 0.0000  6 N 2.43
Tm 0.0000 0.5000 0.5000  6 N 2.42
Tm 0.5000 0.0000 0.5000  6 N 2.41
N 0.2507 0.0000 0.7472  3 Tm 2.41-2.42, 2 Er 2.43, 1 Y 2.44
N 0.2529 0.5000 0.2539  3 Tm 2.41-2.42, 1 Er 2.43, 2 Y 2.44

---

Record 3
A plane-wave DFT calculation with PBE-GGA was carried out for a relaxed structure of BiSb2MoI.

Values from the calculation:
Distance to the lowest polymorph of the same formula   0.000 eV per atom
E_form (uncorrected)   0.597 eV/atom

a = 5.1999 Å, b = 5.1999 Å, c = 5.7688 Å
α = 90.00°, β = 90.00°, γ = 90.00°
With the nearest neighbours (Å) after each atom.
Space group P4/mmm (No. 123)
Symmetry-distinct sites (fractional):
Bi 0.0000 0.0000 0.0000  4 I 3.68, 8 Sb 3.88
Sb 0.0000 0.5000 0.5000  2 Mo 2.60
Mo 0.5000 0.5000 0.5000  4 Sb 2.60, 2 I 2.88
I 0.5000 0.5000 0.0000  2 Mo 2.88

---

Record 4
A plane-wave DFT calculation with PBE-GGA was carried out for a relaxed structure of CsMg2Pb2.

Values from the calculation:
Calculated formation energy   -51.8 meV/atom
Distance to the lowest polymorph of the same formula   0.061 eV per atom

a = 9.6659 Å, b = 9.6659 Å, c = 3.3556 Å
α = 90.00°, β = 90.00°, γ = 90.00°
With the nearest neighbours (Å) after each atom.
Space group P4/mbm (No. 127)
Symmetry-distinct sites (fractional):
Cs 0.0000 0.0000 0.0000  2 Cs 3.36
Mg 0.1269 0.3731 0.0000  6 Pb 3.24-3.39, 3 Mg 3.36-3.47
Pb 0.1577 0.6577 0.5000  6 Mg 3.24-3.39, 2 Pb 3.36

---

Record 5
A plane-wave DFT calculation with PBE-GGA was carried out for a relaxed structure of Hf2CS.

Values from the calculation:
Distance to the lowest polymorph of the same formula   1.084 eV per atom
E_form (uncorrected)   -0.259 eV/atom

a = 6.1086 Å, b = 6.1086 Å, c = 6.1086 Å
α = 90.00°, β = 90.00°, γ = 90.00°
With the nearest neighbours (Å) after each atom.
Space group Fm-3m (No. 225)
Symmetry-distinct sites (fractional):
Hf 0.2500 0.2500 0.2500  4 S 2.65, 4 C 2.65
C 0.0000 0.0000 0.0000  8 Hf 2.65
S 0.0000 0.0000 0.5000  8 Hf 2.65

---

Record 6
A plane-wave DFT calculation with PBE-GGA was carried out for a relaxed structure of Ce4Tl5Ag.

Values from the calculation:
Calculated formation energy   -154.6 meV/atom

a = 16.7330 Å, b = 5.3268 Å, c = 6.6194 Å
α = 90.00°, β = 104.08°, γ = 90.00°
With the nearest neighbours (Å) after each atom.
Space group C2/m (No. 12)
Symmetry-distinct sites (fractional):
Ce 0.0931 0.0000 0.3225  6 Tl 3.13-3.50, 2 Ag 3.43
Ce 0.1929 0.5000 0.8311  6 Tl 3.10-3.43, 1 Ag 3.43
Tl 0.0000 0.5000 0.0000  2 Ag 3.31, 6 Tl 3.45-3.69, 6 Ce 3.53-3.66
Tl 0.0989 0.0000 0.8347  5 Ce 3.10-3.37, 2 Tl 3.45
Tl 0.2111 0.5000 0.3364  7 Ce 3.28-3.50, 3 Tl 3.48-3.63
Ag 0.0000 0.5000 0.5000  6 Tl 3.31-3.60, 6 Ce 3.43

---

Record 7
A plane-wave DFT calculation with PBE-GGA was carried out for a relaxed structure of La3GeI2.

Values from the calculation:
Distance to the lowest polymorph of the same formula   0.000 eV per atom
E_form (uncorrected)   -1.075 eV/atom

a = 7.8439 Å, b = 13.5600 Å, c = 8.0667 Å
α = 90.00°, β = 108.80°, γ = 90.00°
With the nearest neighbours (Å) after each atom.
Space group C2/m (No. 12)
Symmetry-distinct sites (fractional):
La 0.2132 0.0000 0.2067  2 Ge 2.99, 2 I 3.20-3.31
La 0.2494 0.3222 0.2131  2 Ge 3.00, 2 I 3.23-3.34
Ge 0.0000 0.1679 0.0000  6 La 2.99-3.00
I 0.0000 0.0000 0.5000  6 La 3.31-3.48
I 0.0000 0.3405 0.5000  6 La 3.34-3.49
I 0.0000 0.5000 0.0000  6 La 3.20-3.23

---

Record 8
A plane-wave DFT calculation with PBE-GGA was carried out for a relaxed structure of RbNi4P2.

Values from the calculation:
Calculated formation energy   -353.9 meV/atom

a = 3.9542 Å, b = 15.7044 Å, c = 3.9542 Å
α = 90.00°, β = 90.00°, γ = 90.00°
With the nearest neighbours (Å) after each atom.
Space group Cmmm (No. 65)
Symmetry-distinct sites (fractional):
Rb 0.0000 0.0000 0.0000  8 P 3.57, 8 Ni 3.71, 4 Rb 3.95
Ni 0.0000 0.1998 0.5000  2 P 2.18
Ni 0.0000 0.2999 0.0000  2 P 2.18
P 0.0000 0.3582 0.5000  4 Ni 2.18

---

Going through the records in order, we get E values of -20.51 -67.52 -21.52 -11.72 -34.29 -39.96 -28.95 -37.39 eV/f.u..